(1)
# Pr2Se3

A geometry-optimized Pr2Se3 structure (PBE, OQMD via LeMat-Bulk).

Properties
space-group type: No. 70
electronic total energy: -5.857 eV per atom

abc: 14.1635 13.5288 7.4113
angles: 79.27 69.80 30.94
Atoms (fractional coordinates):
Pr 0.3347 0.3347 0.1653
Pr 0.9958 0.9958 0.5042
Pr 0.9153 0.9153 0.0847
Se 0.2379 0.7621 0.7621
Se 0.0121 0.4879 0.4879
Se 0.7621 0.2379 0.2379
Se 0.0725 0.5879 0.9344
Se 0.8448 0.3156 0.6621
Pr 0.0847 0.0847 0.9153
Se 0.4052 0.9344 0.5879
Pr 0.1653 0.1653 0.3347
Se 0.5879 0.0725 0.4052
Se 0.6621 0.1775 0.8448
Pr 0.5042 0.5042 0.9958
Pr 0.7458 0.7458 0.2542
Se 0.3156 0.8448 0.1775
Pr 0.2542 0.2542 0.7458
Se 0.9344 0.4052 0.0725
Se 0.1775 0.6621 0.3156
Se 0.4879 0.0121 0.0121

=====

(2)
# PrSe

A geometry-optimized PrSe structure (PBE, OQMD via LeMat-Bulk).

Properties
space-group type: No. 164
electronic total energy: -5.977 eV per atom

abc: 4.2650 4.2650 10.4047
angles: 90.00 90.00 120.00
Atoms (fractional coordinates):
Se 0.6667 0.3333 0.1668
Se 0.0000 0.0000 0.5000
Pr 0.0000 0.0000 0.0000
Pr 0.3333 0.6667 0.3338
Pr 0.6667 0.3333 0.6662
Se 0.3333 0.6667 0.8332

=====

(3)
# PrSiSe3

A geometry-optimized PrSiSe3 structure (PBE, OQMD via LeMat-Bulk).

Properties
space-group type: No. 14
electronic total energy: -5.304 eV per atom

abc: 6.9425 7.8653 11.6180
angles: 90.00 124.36 90.00
Atoms (fractional coordinates):
Si 0.6418 0.9007 0.5661
Si 0.6418 0.5993 0.0661
Pr 0.2875 0.6258 0.2484
Se 0.9129 0.4809 0.2757
Pr 0.7125 0.1258 0.2516
Se 0.7866 0.6877 0.9413
Se 0.9129 0.0191 0.7757
Pr 0.2875 0.8742 0.7484
Se 0.4228 0.8187 0.0662
Se 0.0871 0.9809 0.2243
Si 0.3582 0.4007 0.9339
Pr 0.7125 0.3742 0.7516
Si 0.3582 0.0993 0.4339
Se 0.0871 0.5191 0.7243
Se 0.7866 0.8123 0.4413
Se 0.4228 0.6813 0.5662
Se 0.2134 0.3123 0.0587
Se 0.5772 0.3187 0.4338
Se 0.5772 0.1813 0.9338
Se 0.2134 0.1877 0.5587

=====

(4)
# PrSm5Se6

A geometry-optimized PrSm5Se6 structure (PBE, OQMD via LeMat-Bulk).

Properties
space-group type: No. 12
electronic total energy: -5.927 eV per atom

abc: 7.2558 7.2558 7.2330
angles: 99.63 99.63 120.12
Atoms (fractional coordinates):
Se 0.7452 0.7452 0.2508
Sm 0.1633 0.8367 0.5000
Se 0.5769 0.9157 0.7464
Sm 0.8367 0.1633 0.5000
Pr 0.0000 0.0000 0.0000
Se 0.9157 0.5769 0.7464
Se 0.4231 0.0843 0.2536
Se 0.2548 0.2548 0.7492
Se 0.0843 0.4231 0.2536
Sm 0.5000 0.5000 0.5000
Sm 0.6662 0.3338 0.0000
Sm 0.3338 0.6662 0.0000